{
  "formula": "PmSmY2",
  "functional": "PBE-GGA",
  "state": "relaxed",
  "lattice": [[-1.8358, 5.7669, 3.1717], [1.8358, -5.7669, 3.1717], [1.8358, 5.7669, -3.1717]],
  "species": ["Pm", "Sm", "Y", "Y"],
  "frac_coords": [[0.0000, 0.0000, 0.0000], [0.4993, 0.9993, 0.5000], [0.4168, 0.6665, 0.7502], [0.9163, 0.6665, 0.2498]],
  "final_energy_ev_per_cell": -22.308,
  "total_magnetization_mub_per_cell": 0.000
}

=====

{
  "formula": "PmSm5Y2",
  "functional": "PBE-GGA",
  "state": "relaxed",
  "lattice": [[6.7759, 0.0000, 0.0000], [3.0668, 8.5789, 0.0000], [1.3252, 0.9249, 9.3326]],
  "species": ["Pm", "Pm", "Sm", "Sm", "Sm", "Sm", "Sm", "Sm", "Sm", "Sm", "Sm", "Sm", "Y", "Y", "Y", "Y"],
  "frac_coords": [[0.0496, 0.4152, 0.2532], [0.9504, 0.5848, 0.7468], [0.0798, 0.7581, 0.0367], [0.1096, 0.0066, 0.2996], [0.2953, 0.2165, 0.5628], [0.3796, 0.7161, 0.7173], [0.3963, 0.9958, 0.8636], [0.6037, 0.0042, 0.1364], [0.6204, 0.2839, 0.2827], [0.7047, 0.7835, 0.4372], [0.8904, 0.9934, 0.7004], [0.9202, 0.2419, 0.9633], [0.2830, 0.6155, 0.4103], [0.3947, 0.3664, 0.9262], [0.6053, 0.6336, 0.0738], [0.7170, 0.3845, 0.5897]],
  "final_energy_ev_per_cell": -80.754,
  "total_magnetization_mub_per_cell": 0.000
}

=====

{
  "formula": "Pm6SmY6",
  "functional": "PBE-GGA",
  "state": "relaxed",
  "lattice": [[3.5933, -5.6457, 0.0000], [3.5933, 5.6457, 0.0000], [0.0000, 0.0000, 11.0765]],
  "species": ["Pm", "Pm", "Pm", "Pm", "Pm", "Pm", "Sm", "Y", "Y", "Y", "Y", "Y", "Y"],
  "frac_coords": [[0.0000, 0.0000, 0.1745], [0.0000, 0.0000, 0.8255], [0.2498, 0.7502, 0.0000], [0.3609, 0.6391, 0.5000], [0.6391, 0.3609, 0.5000], [0.7502, 0.2498, 0.0000], [0.0000, 0.0000, 0.5000], [0.0000, 0.5000, 0.2774], [0.0000, 0.5000, 0.7226], [0.5000, 0.0000, 0.2774], [0.5000, 0.0000, 0.7226], [0.5000, 0.5000, 0.1875], [0.5000, 0.5000, 0.8125]],
  "final_energy_ev_per_cell": -69.164,
  "total_magnetization_mub_per_cell": 0.000
}

=====

{
  "formula": "Pm3Sm3Y5",
  "functional": "PBE-GGA",
  "state": "relaxed",
  "lattice": [[9.6916, 0.0000, 0.0000], [-4.8458, 8.3932, 0.0000], [0.0000, 0.0000, 5.5968]],
  "species": ["Pm", "Pm", "Pm", "Sm", "Sm", "Sm", "Y", "Y", "Y", "Y", "Y"],
  "frac_coords": [[0.0000, 0.4602, 0.0000], [0.4602, 0.0000, 0.0000], [0.5398, 0.5398, 0.0000], [0.0000, 0.6269, 0.5000], [0.3731, 0.3731, 0.5000], [0.6269, 0.0000, 0.5000], [0.0000, 0.2626, 0.5000], [0.2626, 0.0000, 0.5000], [0.3333, 0.6667, 0.5000], [0.6667, 0.3333, 0.5000], [0.7374, 0.7374, 0.5000]],
  "final_energy_ev_per_cell": -52.183,
  "total_magnetization_mub_per_cell": 0.004
}

=====

{
  "formula": "PmSm12Y5",
  "functional": "PBE-GGA",
  "state": "relaxed",
  "lattice": [[7.6531, -7.6720, 0.0000], [7.6531, 7.6720, 0.0000], [0.0000, 0.0000, 5.1150]],
  "species": ["Pm", "Sm", "Sm", "Sm", "Sm", "Sm", "Sm", "Sm", "Sm", "Sm", "Sm", "Sm", "Sm", "Y", "Y", "Y", "Y", "Y"],
  "frac_coords": [[0.0000, 0.0000, 0.0000], [0.9998, 0.3337, 0.0000], [0.0002, 0.6663, 0.0000], [0.1668, 0.1668, 0.5000], [0.1671, 0.4999, 0.5000], [0.3337, 0.9998, 0.0000], [0.3336, 0.3336, 0.0000], [0.4999, 0.1671, 0.5000], [0.5001, 0.8329, 0.5000], [0.6663, 0.0002, 0.0000], [0.6664, 0.6664, 0.0000], [0.8329, 0.5001, 0.5000], [0.8332, 0.8332, 0.5000], [0.1673, 0.8327, 0.5000], [0.3336, 0.6664, 0.0000], [0.5000, 0.5000, 0.5000], [0.6664, 0.3336, 0.0000], [0.8327, 0.1673, 0.5000]],
  "final_energy_ev_per_cell": -93.411,
  "total_magnetization_mub_per_cell": 0.000
}

=====

{
  "formula": "Pm5Sm6Y2",
  "functional": "PBE-GGA",
  "state": "relaxed",
  "lattice": [[11.8158, 0.0000, 0.0000], [0.0000, 20.7636, 0.0000], [0.0000, 0.0000, 3.6366]],
  "species": ["Pm", "Pm", "Pm", "Pm", "Pm", "Pm", "Pm", "Pm", "Pm", "Pm", "Sm", "Sm", "Sm", "Sm", "Sm", "Sm", "Sm", "Sm", "Sm", "Sm", "Sm", "Sm", "Y", "Y", "Y", "Y"],
  "frac_coords": [[0.0000, 0.0000, 0.0000], [0.0888, 0.2743, 0.0000], [0.1992, 0.5530, 0.0000], [0.3008, 0.0530, 0.0000], [0.4112, 0.7743, 0.0000], [0.5000, 0.5000, 0.0000], [0.5888, 0.2257, 0.0000], [0.6992, 0.9470, 0.0000], [0.8008, 0.4470, 0.0000], [0.9112, 0.7257, 0.0000], [0.0600, 0.4197, 0.5000], [0.0805, 0.1327, 0.5000], [0.1755, 0.8642, 0.0000], [0.3245, 0.3642, 0.0000], [0.4195, 0.6327, 0.5000], [0.4400, 0.9197, 0.5000], [0.5600, 0.0803, 0.5000], [0.5805, 0.3673, 0.5000], [0.6755, 0.6358, 0.0000], [0.8245, 0.1358, 0.0000], [0.9195, 0.8673, 0.5000], [0.9400, 0.5803, 0.5000], [0.1692, 0.7114, 0.5000], [0.3308, 0.2114, 0.5000], [0.6692, 0.7886, 0.5000], [0.8308, 0.2886, 0.5000]],
  "final_energy_ev_per_cell": -127.635,
  "total_magnetization_mub_per_cell": 0.000
}

=====

{
  "formula": "Pm6Sm2Y3",
  "functional": "PBE-GGA",
  "state": "relaxed",
  "lattice": [[3.6257, 0.0000, 0.0000], [-1.8053, 6.0070, 0.0000], [-0.0028, -0.0504, 17.0089]],
  "species": ["Pm", "Pm", "Pm", "Pm", "Pm", "Pm", "Sm", "Sm", "Y", "Y", "Y"],
  "frac_coords": [[0.0454, 0.0902, 0.1821], [0.1371, 0.2733, 0.5457], [0.2275, 0.4544, 0.9088], [0.7725, 0.5456, 0.0912], [0.8629, 0.7267, 0.4543], [0.9546, 0.9098, 0.8179], [0.3180, 0.6354, 0.2730], [0.6820, 0.3646, 0.7270], [0.4091, 0.8188, 0.6358], [0.5000, 0.0000, 0.0000], [0.5909, 0.1812, 0.3642]],
  "final_energy_ev_per_cell": -57.185,
  "total_magnetization_mub_per_cell": 0.000
}

=====

{
  "formula": "Pm4Sm3Y8",
  "functional": "PBE-GGA",
  "state": "relaxed",
  "lattice": [[3.5161, 2.0300, 11.8747], [-3.5161, 2.0300, 11.8747], [0.0000, -4.0600, 11.8747]],
  "species": ["Pm", "Pm", "Pm", "Pm", "Sm", "Sm", "Sm", "Y", "Y", "Y", "Y", "Y", "Y", "Y", "Y"],
  "frac_coords": [[0.0000, 0.0000, 0.0000], [0.1639, 0.1639, 0.1639], [0.5000, 0.5000, 0.5000], [0.8361, 0.8361, 0.8361], [0.0000, 0.5000, 0.5000], [0.5000, 0.0000, 0.5000], [0.5000, 0.5000, 0.0000], [0.2504, 0.2504, 0.7492], [0.2504, 0.7492, 0.2504], [0.2508, 0.7496, 0.7496], [0.2544, 0.2544, 0.2544], [0.7456, 0.7456, 0.7456], [0.7492, 0.2504, 0.2504], [0.7496, 0.2508, 0.7496], [0.7496, 0.7496, 0.2508]],
  "final_energy_ev_per_cell": -82.896,
  "total_magnetization_mub_per_cell": 0.000
}

=====

{
  "formula": "Pm4Sm5Y2",
  "functional": "PBE-GGA",
  "state": "relaxed",
  "lattice": [[5.6138, -3.7334, 0.0000], [5.6138, 3.7334, 0.0000], [-2.5442, 0.0000, 8.9374]],
  "species": ["Pm", "Pm", "Pm", "Pm", "Sm", "Sm", "Sm", "Sm", "Sm", "Y", "Y"],
  "frac_coords": [[0.1684, 0.1684, 0.1184], [0.1924, 0.1924, 0.4962], [0.8076, 0.8076, 0.5038], [0.8316, 0.8316, 0.8816], [0.1484, 0.7101, 0.2291], [0.2899, 0.8516, 0.7709], [0.5000, 0.5000, 0.5000], [0.7101, 0.1484, 0.2291], [0.8516, 0.2899, 0.7709], [0.3584, 0.3584, 0.8758], [0.6416, 0.6416, 0.1242]],
  "final_energy_ev_per_cell": -54.267,
  "total_magnetization_mub_per_cell": 0.000
}

=====

{
  "formula": "Pm2SmY7",
  "functional": "PBE-GGA",
  "state": "relaxed",
  "lattice": [[6.2015, 0.0000, 0.0000], [2.0357, 6.8847, 0.0000], [2.0682, 1.2802, 7.6605]],
  "species": ["Pm", "Pm", "Sm", "Y", "Y", "Y", "Y", "Y", "Y", "Y"],
  "frac_coords": [[0.1992, 0.2993, 0.1015], [0.8008, 0.7007, 0.8985], [0.0000, 0.5000, 0.5000], [0.0000, 0.0000, 0.5000], [0.1997, 0.8000, 0.1004], [0.4001, 0.0999, 0.6999], [0.3999, 0.6001, 0.6997], [0.6001, 0.3999, 0.3003], [0.5999, 0.9001, 0.3001], [0.8003, 0.2000, 0.8996]],
  "final_energy_ev_per_cell": -59.301,
  "total_magnetization_mub_per_cell": 0.000
}

=====

{
  "formula": "Pm12SmY6",
  "functional": "PBE-GGA",
  "state": "relaxed",
  "lattice": [[6.7375, 3.8899, 4.2319], [-6.7375, 3.8899, 4.2319], [0.0000, -7.7798, 4.2319]],
  "species": ["Pm", "Pm", "Pm", "Pm", "Pm", "Pm", "Pm", "Pm", "Pm", "Pm", "Pm", "Pm", "Sm", "Y", "Y", "Y", "Y", "Y", "Y"],
  "frac_coords": [[0.0000, 0.2569, 0.7431], [0.0000, 0.7431, 0.2569], [0.1464, 0.1464, 0.4199], [0.1464, 0.4199, 0.1464], [0.2569, 0.0000, 0.7431], [0.2569, 0.7431, 0.0000], [0.4199, 0.1464, 0.1464], [0.5801, 0.8536, 0.8536], [0.7431, 0.0000, 0.2569], [0.7431, 0.2569, 0.0000], [0.8536, 0.5801, 0.8536], [0.8536, 0.8536, 0.5801], [0.5000, 0.5000, 0.5000], [0.1628, 0.5997, 0.5997], [0.4003, 0.4003, 0.8372], [0.4003, 0.8372, 0.4003], [0.5997, 0.1628, 0.5997], [0.5997, 0.5997, 0.1628], [0.8372, 0.4003, 0.4003]],
  "final_energy_ev_per_cell": -96.815,
  "total_magnetization_mub_per_cell": 0.000
}

=====

{
  "formula": "Pm3Sm4Y3",
  "functional": "PBE-GGA",
  "state": "relaxed",
  "lattice": [[3.7839, 0.0000, 0.0000], [0.0000, 6.6687, 6.7132], [0.0000, -6.6687, 6.7132]],
  "species": ["Pm", "Pm", "Pm", "Sm", "Sm", "Sm", "Sm", "Y", "Y", "Y"],
  "frac_coords": [[0.0000, 0.0000, 0.0000], [0.0000, 0.4999, 0.8405], [0.0000, 0.8405, 0.4999], [0.5000, 0.0416, 0.2995], [0.5000, 0.2995, 0.0416], [0.5000, 0.5413, 0.5413], [0.5000, 0.8004, 0.8004], [0.0000, 0.3412, 0.3412], [0.5000, 0.1723, 0.6666], [0.5000, 0.6666, 0.1723]],
  "final_energy_ev_per_cell": -51.610,
  "total_magnetization_mub_per_cell": 0.000
}

=====

{
  "formula": "Pm2Sm4Y7",
  "functional": "PBE-GGA",
  "state": "relaxed",
  "lattice": [[6.5532, 0.0000, 0.0000], [0.7460, 6.6624, 0.0000], [2.0768, -0.0258, 9.8870]],
  "species": ["Pm", "Pm", "Sm", "Sm", "Sm", "Sm", "Y", "Y", "Y", "Y", "Y", "Y", "Y"],
  "frac_coords": [[0.1551, 0.1011, 0.3474], [0.8449, 0.8989, 0.6526], [0.3670, 0.6665, 0.7770], [0.4589, 0.8149, 0.1008], [0.5411, 0.1851, 0.8992], [0.6330, 0.3335, 0.2230], [0.0000, 0.0000, 0.0000], [0.1327, 0.4756, 0.1212], [0.2425, 0.6056, 0.4432], [0.2648, 0.1736, 0.6579], [0.7352, 0.8264, 0.3421], [0.7575, 0.3944, 0.5568], [0.8673, 0.5244, 0.8788]],
  "final_energy_ev_per_cell": -72.551,
  "total_magnetization_mub_per_cell": 0.000
}

=====

{
  "formula": "Pm4SmY5",
  "functional": "PBE-GGA",
  "state": "relaxed",
  "lattice": [[3.6177, 0.0000, 0.0000], [0.0000, 3.6177, 0.0000], [0.0000, 0.0000, 25.3592]],
  "species": ["Pm", "Pm", "Pm", "Pm", "Sm", "Y", "Y", "Y", "Y", "Y"],
  "frac_coords": [[0.0000, 0.0000, 0.1002], [0.0000, 0.0000, 0.3002], [0.0000, 0.0000, 0.6998], [0.0000, 0.0000, 0.8998], [0.0000, 0.0000, 0.5000], [0.5000, 0.5000, 0.0000], [0.5000, 0.5000, 0.2002], [0.5000, 0.5000, 0.4004], [0.5000, 0.5000, 0.5996], [0.5000, 0.5000, 0.7998]],
  "final_energy_ev_per_cell": -55.884,
  "total_magnetization_mub_per_cell": 0.000
}

=====

{
  "formula": "PmSm6Y",
  "functional": "PBE-GGA",
  "state": "relaxed",
  "lattice": [[7.2578, 0.0000, 0.0000], [0.0000, 7.2578, 0.0000], [0.0000, 0.0000, 5.1163]],
  "species": ["Pm", "Sm", "Sm", "Sm", "Sm", "Sm", "Sm", "Y"],
  "frac_coords": [[0.0000, 0.0000, 0.0000], [0.0000, 0.5000, 0.0000], [0.2504, 0.2504, 0.5000], [0.2504, 0.7496, 0.5000], [0.5000, 0.0000, 0.0000], [0.7496, 0.2504, 0.5000], [0.7496, 0.7496, 0.5000], [0.5000, 0.5000, 0.0000]],
  "final_energy_ev_per_cell": -39.418,
  "total_magnetization_mub_per_cell": 0.000
}

=====

{
  "formula": "Pm6Sm7Y16",
  "functional": "PBE-GGA",
  "state": "relaxed",
  "lattice": [[0.0000, 7.8984, 7.8984], [7.8984, 0.0000, 7.8984], [7.8984, 7.8984, 0.0000]],
  "species": ["Pm", "Pm", "Pm", "Pm", "Pm", "Pm", "Sm", "Sm", "Sm", "Sm", "Sm", "Sm", "Sm", "Y", "Y", "Y", "Y", "Y", "Y", "Y", "Y", "Y", "Y", "Y", "Y", "Y", "Y", "Y", "Y"],
  "frac_coords": [[0.2227, 0.2227, 0.7773], [0.2227, 0.7773, 0.2227], [0.2227, 0.7773, 0.7773], [0.7773, 0.2227, 0.2227], [0.7773, 0.2227, 0.7773], [0.7773, 0.7773, 0.2227], [0.0000, 0.0000, 0.0000], [0.0000, 0.0000, 0.5000], [0.0000, 0.5000, 0.0000], [0.0000, 0.5000, 0.5000], [0.5000, 0.0000, 0.0000], [0.5000, 0.0000, 0.5000], [0.5000, 0.5000, 0.0000], [0.1495, 0.1495, 0.1495], [0.1495, 0.1495, 0.5516], [0.1495, 0.5516, 0.1495], [0.1579, 0.6140, 0.6140], [0.3860, 0.3860, 0.3860], [0.3860, 0.3860, 0.8421], [0.3860, 0.8421, 0.3860], [0.4484, 0.8505, 0.8505], [0.5516, 0.1495, 0.1495], [0.6140, 0.1579, 0.6140], [0.6140, 0.6140, 0.1579], [0.6140, 0.6140, 0.6140], [0.8421, 0.3860, 0.3860], [0.8505, 0.4484, 0.8505], [0.8505, 0.8505, 0.4484], [0.8505, 0.8505, 0.8505]],
  "final_energy_ev_per_cell": -159.714,
  "total_magnetization_mub_per_cell": 0.001
}

=====

{
  "formula": "Pm4Sm6Y",
  "functional": "PBE-GGA",
  "state": "relaxed",
  "lattice": [[-3.8317, 3.8317, 6.7327], [3.8317, -3.8317, 6.7327], [3.8317, 3.8317, -6.7327]],
  "species": ["Pm", "Pm", "Pm", "Pm", "Sm", "Sm", "Sm", "Sm", "Sm", "Sm", "Y"],
  "frac_coords": [[0.2502, 0.2502, 0.6568], [0.4066, 0.7498, 0.0000], [0.5934, 0.5934, 0.3432], [0.7498, 0.4066, 0.0000], [0.0000, 0.5000, 0.5000], [0.0441, 0.5803, 0.0000], [0.4197, 0.4197, 0.4637], [0.5000, 0.0000, 0.5000], [0.5803, 0.0441, 0.0000], [0.9559, 0.9559, 0.5363], [0.0000, 0.0000, 0.0000]],
  "final_energy_ev_per_cell": -49.563,
  "total_magnetization_mub_per_cell": 0.000
}

=====

{
  "formula": "Pm16Sm7Y6",
  "functional": "PBE-GGA",
  "state": "relaxed",
  "lattice": [[0.0000, 8.0134, 8.0134], [8.0134, 0.0000, 8.0134], [8.0134, 8.0134, 0.0000]],
  "species": ["Pm", "Pm", "Pm", "Pm", "Pm", "Pm", "Pm", "Pm", "Pm", "Pm", "Pm", "Pm", "Pm", "Pm", "Pm", "Pm", "Sm", "Sm", "Sm", "Sm", "Sm", "Sm", "Sm", "Y", "Y", "Y", "Y", "Y", "Y"],
  "frac_coords": [[0.0450, 0.6516, 0.6516], [0.1248, 0.1248, 0.1248], [0.1248, 0.1248, 0.6255], [0.1248, 0.6255, 0.1248], [0.3484, 0.3484, 0.3484], [0.3484, 0.3484, 0.9550], [0.3484, 0.9550, 0.3484], [0.3745, 0.8752, 0.8752], [0.6255, 0.1248, 0.1248], [0.6516, 0.0450, 0.6516], [0.6516, 0.6516, 0.0450], [0.6516, 0.6516, 0.6516], [0.8752, 0.3745, 0.8752], [0.8752, 0.8752, 0.3745], [0.8752, 0.8752, 0.8752], [0.9550, 0.3484, 0.3484], [0.0000, 0.0000, 0.0000], [0.0000, 0.0000, 0.5000], [0.0000, 0.5000, 0.0000], [0.0000, 0.5000, 0.5000], [0.5000, 0.0000, 0.0000], [0.5000, 0.0000, 0.5000], [0.5000, 0.5000, 0.0000], [0.2698, 0.2698, 0.7302], [0.2698, 0.7302, 0.2698], [0.2698, 0.7302, 0.7302], [0.7302, 0.2698, 0.2698], [0.7302, 0.2698, 0.7302], [0.7302, 0.7302, 0.2698]],
  "final_energy_ev_per_cell": -141.625,
  "total_magnetization_mub_per_cell": 0.000
}